(one)
First-principles (PBE-GGA) data for crystalline TeIBr2 at its relaxed geometry, as listed in the Alexandria database.

```
4
Lattice="-2.798 -11.313 7.547 0.241 -10.400 9.195 -2.859 -8.946 10.226" Properties=species:S:1:pos:R:3 pbc="T T T"
I -2.708 -15.329 13.484
Te 0.000 0.000 0.000
Br -5.074 -28.722 25.265
Br -0.342 -1.936 1.703
```

## Properties
The total magnetic moment is 0.00 μB per atom. The value obtained for the density of states at the Fermi level is 0.867 states/eV per atom.

(two)
First-principles (PBE-GGA) data for crystalline TeIBr2 at its relaxed geometry, as listed in the Alexandria database.

```
16
Lattice="6.452 0.000 0.000 0.000 8.264 -0.003 0.000 0.008 12.572" Properties=species:S:1:pos:R:3 pbc="T T T"
Te 0.001 2.070 7.282
Te 6.451 6.202 5.287
Te 3.227 2.073 11.575
Te 3.225 6.199 0.994
I 1.611 4.712 3.140
I 4.841 3.561 9.429
I 4.837 7.689 3.141
I 1.615 0.583 9.428
Br 4.750 7.328 11.756
Br 1.702 0.944 0.813
Br 1.524 5.081 7.097
Br 4.928 3.192 5.472
Br 4.749 3.188 0.814
Br 1.703 5.084 11.755
Br 1.523 0.947 5.471
Br 4.929 7.325 7.098
```

## Properties
The total magnetic moment is 0.00 μB per atom. The value obtained for the density of states at the Fermi level is 0.366 states/eV per atom.

Most favorable first, least favorable last: (two), (one)

(one)
First-principles (PBE-GGA) data for crystalline TlTeI2Br at its relaxed geometry, as listed in the Alexandria database.

```
5
Lattice="6.001 0.000 0.000 0.000 6.001 0.000 0.000 0.000 6.134" Properties=species:S:1:pos:R:3 pbc="T T T"
I 0.000 3.000 0.000
I 3.000 0.000 0.000
Tl 0.000 0.000 0.000
Te 0.000 0.000 3.067
Br 3.000 3.000 3.067
```

## Properties
The total magnetic moment is 0.49 μB per atom. The value obtained for the density of states at the Fermi level is 1.455 states/eV per atom.

(two)
First-principles (PBE-GGA) data for crystalline TlTeI2Br at its relaxed geometry, as listed in the Alexandria database.

```
5
Lattice="5.941 0.000 0.000 0.000 5.941 0.000 0.000 0.000 5.755" Properties=species:S:1:pos:R:3 pbc="T T T"
I 0.000 2.971 0.000
I 2.971 0.000 0.000
Tl 2.971 2.971 2.877
Te 0.000 0.000 2.877
Br 0.000 0.000 0.000
```

## Properties
The total magnetic moment is 0.00 μB per atom. The value obtained for the density of states at the Fermi level is 0.617 states/eV per atom.

(three)
First-principles (PBE-GGA) data for crystalline TlTeI2Br at its relaxed geometry, as listed in the Alexandria database.

```
5
Lattice="6.303 0.000 0.000 0.000 6.303 0.000 0.000 0.000 5.557" Properties=species:S:1:pos:R:3 pbc="T T T"
I 0.000 3.152 0.000
I 3.152 0.000 0.000
Tl 3.152 3.152 2.778
Te 0.000 0.000 0.000
Br 0.000 0.000 2.778
```

## Properties
The total magnetic moment is 0.00 μB per atom. The value obtained for the density of states at the Fermi level is 0.698 states/eV per atom.

Most favorable first, least favorable last: (three), (two), (one)

(one)
First-principles (PBE-GGA) data for crystalline Te2WIBr at its relaxed geometry, as listed in the Alexandria database.

```
5
Lattice="-4.663 -1.428 -2.898 -2.630 -1.278 4.861 -1.839 5.232 0.381" Properties=species:S:1:pos:R:3 pbc="T T T"
I -0.920 2.616 0.190
Te -1.315 -0.639 2.431
Te -2.331 -0.714 -1.449
Br 0.000 0.000 0.000
W -4.566 1.263 1.172
```

## Properties
The total magnetic moment is 0.62 μB per atom. The value obtained for the density of states at the Fermi level is 0.951 states/eV per atom.

(two)
First-principles (PBE-GGA) data for crystalline Te2WIBr at its relaxed geometry, as listed in the Alexandria database.

```
5
Lattice="5.272 0.000 0.000 0.000 5.272 0.000 0.000 0.000 5.552" Properties=species:S:1:pos:R:3 pbc="T T T"
I 0.000 0.000 2.776
Te 0.000 2.636 0.000
Te 2.636 0.000 0.000
Br 2.636 2.636 2.776
W 0.000 0.000 0.000
```

## Properties
The total magnetic moment is 0.03 μB per atom. The value obtained for the density of states at the Fermi level is 0.621 states/eV per atom.

Most favorable first, least favorable last: (two), (one)

(one)
First-principles (PBE-GGA) data for crystalline ThIBr at its relaxed geometry, as listed in the Alexandria database.

```
6
Lattice="3.814 -0.012 -0.365 -1.937 3.297 -0.243 0.560 0.756 17.870" Properties=species:S:1:pos:R:3 pbc="T T T"
Th 2.192 0.833 11.251
Th 2.453 1.198 1.965
I 0.054 1.637 9.001
I 0.756 2.600 4.297
Br 2.374 3.298 13.054
Br -1.581 3.132 -0.040
```

## Properties
The total magnetic moment is 0.00 μB per atom. The value obtained for the density of states at the Fermi level is 0.420 states/eV per atom.

(two)
First-principles (PBE-GGA) data for crystalline ThIBr at its relaxed geometry, as listed in the Alexandria database.

```
6
Lattice="-2.500 -2.912 -0.154 2.748 -2.062 -5.619 5.499 -4.980 4.887" Properties=species:S:1:pos:R:3 pbc="T T T"
Th 2.942 -6.226 -1.899
Th 2.804 -3.728 1.013
I 0.531 -4.192 -1.223
I 5.215 -5.762 0.337
Br 2.445 -6.055 2.949
Br 3.301 -3.898 -3.835
```

## Properties
The total magnetic moment is 0.00 μB per atom. The value obtained for the density of states at the Fermi level is 0.555 states/eV per atom.

Most favorable first, least favorable last: (two), (one)

(one)
First-principles (PBE-GGA) data for crystalline ThI3Br at its relaxed geometry, as listed in the Alexandria database.

```
10
Lattice="-0.185 -5.882 5.198 -4.221 -5.486 -3.705 6.629 -3.917 -3.179" Properties=species:S:1:pos:R:3 pbc="T T T"
Th 1.576 -5.193 -0.945
Th 0.647 -10.091 -0.741
I -0.579 -5.375 -3.321
I 1.933 -5.621 2.219
I 0.291 -9.663 -3.906
I -0.719 -7.307 0.001
I 2.803 -9.909 1.635
I 2.942 -7.977 -1.688
Br 1.893 -12.407 -1.409
Br 0.330 -2.877 -0.277
```

## Properties
The total magnetic moment is 0.00 μB per atom. The value obtained for the density of states at the Fermi level is 0.000 states/eV per atom.

(two)
First-principles (PBE-GGA) data for crystalline ThI3Br at its relaxed geometry, as listed in the Alexandria database.

```
10
Lattice="8.399 0.000 0.000 4.199 7.273 0.000 4.199 2.424 8.239" Properties=species:S:1:pos:R:3 pbc="T T T"
Th 4.199 2.424 3.372
Th 12.598 7.273 4.867
I 5.481 4.425 5.541
I 10.225 2.534 5.541
I 7.307 2.110 2.698
I 6.572 7.164 2.698
I 11.316 5.273 2.698
I 9.490 7.588 5.541
Br 4.199 2.424 0.634
Br 12.598 7.273 7.604
```

## Properties
The total magnetic moment is 0.00 μB per atom. The value obtained for the density of states at the Fermi level is 0.000 states/eV per atom.

Most favorable first, least favorable last: (one), (two)

(one)
First-principles (PBE-GGA) data for crystalline TiI2Br at its relaxed geometry, as listed in the Alexandria database.

```
4
Lattice="-0.904 -0.831 -3.741 4.693 -1.935 -0.704 -4.305 -5.203 4.264" Properties=species:S:1:pos:R:3 pbc="T T T"
Ti 1.895 -1.383 -2.222
I -2.197 -5.185 -0.393
I 1.682 -2.785 0.212
Br -0.452 -0.416 -1.871
```

## Properties
The total magnetic moment is 0.25 μB per atom. The value obtained for the density of states at the Fermi level is 0.634 states/eV per atom.

(two)
First-principles (PBE-GGA) data for crystalline TiI2Br at its relaxed geometry, as listed in the Alexandria database.

```
8
Lattice="-7.533 2.288 1.066 -1.111 -6.019 5.065 -2.910 1.034 6.821" Properties=species:S:1:pos:R:3 pbc="T T T"
I -4.934 0.742 2.914
I -3.004 -3.023 5.095
I -5.519 -1.135 7.846
I -9.652 -1.978 10.050
Br 0.000 0.000 0.000
Br -7.383 0.728 5.476
Ti -4.322 -1.866 3.066
Ti -4.172 -3.425 7.476
```

## Properties
The total magnetic moment is 0.25 μB per atom. The value obtained for the density of states at the Fermi level is 0.928 states/eV per atom.

Most favorable first, least favorable last: (one), (two)

(one)
First-principles (PBE-GGA) data for crystalline TiI3Br at its relaxed geometry, as listed in the Alexandria database.

```
5
Lattice="-2.628 -2.230 4.830 4.947 0.957 3.134 -1.957 5.415 1.435" Properties=species:S:1:pos:R:3 pbc="T T T"
I 2.473 0.479 1.567
I -0.978 2.707 0.718
I -1.314 -1.115 2.415
Br 0.000 0.000 0.000
Ti 0.181 2.071 4.699
```

## Properties
The total magnetic moment is 0.02 μB per atom. The value obtained for the density of states at the Fermi level is 7.340 states/eV per atom.

(two)
First-principles (PBE-GGA) data for crystalline TiI3Br at its relaxed geometry, as listed in the Alexandria database.

```
20
Lattice="9.006 0.000 0.000 0.000 14.411 0.000 0.000 0.000 7.403" Properties=species:S:1:pos:R:3 pbc="T T T"
Ti 1.562 8.344 5.552
Ti 2.940 1.138 1.851
Ti 7.443 6.067 1.851
Ti 6.065 13.273 5.552
I 2.325 2.874 0.012
I 2.178 10.080 3.713
I 2.178 10.080 7.391
I 6.681 11.537 3.713
I 6.681 11.537 7.391
I 6.828 4.332 3.690
I 6.828 4.332 0.012
I 2.325 2.874 3.690
I 8.039 0.470 5.552
I 5.470 7.676 1.851
I 0.967 13.941 1.851
I 3.536 6.736 5.552
Br 0.000 7.206 0.000
Br 4.503 0.000 3.701
Br 4.503 0.000 0.000
Br 0.000 7.206 3.701
```

## Properties
The total magnetic moment is 0.00 μB per atom. The value obtained for the density of states at the Fermi level is 0.013 states/eV per atom.

Most favorable first, least favorable last: (two), (one)

(one)
First-principles (PBE-GGA) data for crystalline TiI3Br at its relaxed geometry, as listed in the Alexandria database.

```
10
Lattice="-7.035 2.884 -1.654 2.415 -3.035 -6.503 -4.066 -8.508 2.461" Properties=species:S:1:pos:R:3 pbc="T T T"
Ti -1.974 -3.042 -4.131
Ti -6.712 -5.617 -1.565
I -8.731 -6.717 -0.452
I 0.044 -1.942 -5.244
I -6.991 -3.079 -1.504
I -1.695 -5.580 -4.192
I -2.108 -2.274 -1.696
I -6.579 -6.385 -4.001
Br -3.933 -2.432 -5.259
Br -4.754 -6.227 -0.438
```

## Properties
The total magnetic moment is 0.00 μB per atom. The value obtained for the density of states at the Fermi level is 0.000 states/eV per atom.

(two)
First-principles (PBE-GGA) data for crystalline TiI3Br at its relaxed geometry, as listed in the Alexandria database.

```
5
Lattice="5.491 0.000 0.000 0.000 5.491 0.000 0.000 0.000 5.491" Properties=species:S:1:pos:R:3 pbc="T T T"
I 0.000 2.746 0.000
I 0.000 0.000 2.746
I 2.746 0.000 0.000
Br 2.746 2.746 2.746
Ti 0.000 0.000 0.000
```

## Properties
The total magnetic moment is 0.00 μB per atom. The value obtained for the density of states at the Fermi level is 0.796 states/eV per atom.

Most favorable first, least favorable last: (one), (two)